Here is a relaxed Pm2CdPbO6 crystal from Alexandria via LeMat-Bulk. Energies are from PBE.

Values from the calculation:
- electronic total energy (eV for the cell shown) = -65.4
- total magnetic moment (μB per cell) = 0.000

```
data_Pm2CdPbO6
_chemical_formula_sum 'Pm2 Cd1 Pb1 O6'
_space_group_name_H-M_alt 'P 1'
_space_group_IT_number 1
_cell_length_a 5.9143
_cell_length_b 5.9140
_cell_length_c 6.1591
_cell_angle_alpha 61.31
_cell_angle_beta 61.31
_cell_angle_gamma 60.00
loop_
_space_group_symop_operation_xyz
'x,y,z'
loop_
_atom_site_label
_atom_site_type_symbol
_atom_site_fract_x
_atom_site_fract_y
_atom_site_fract_z
_atom_site_occupancy
Pm1 Pm 0.5284 0.5284 0.4148 1
Pm2 Pm 0.0275 0.0275 0.9175 1
Cd1 Cd 0.8033 0.8033 0.5900 1
Pb1 Pb 0.3125 0.3125 0.0624 1
O1 O 0.6029 0.2033 0.2503 1
O2 O 0.2033 0.9436 0.2502 1
O3 O 0.9435 0.6029 0.2503 1
O4 O 0.4215 0.6926 0.7599 1
O5 O 0.6926 0.1260 0.7599 1
O6 O 0.1261 0.4215 0.7599 1
```

Here is a relaxed PmCdPbO4 crystal from Alexandria via LeMat-Bulk. Energies are from PBE.

Values from the calculation:
- electronic total energy (eV for the cell shown) = -82.9
- D(E_F) (states/eV/cell) = 4.9
- total magnetic moment (μB per cell) = 0.000

```
data_PmCdPbO4
_chemical_formula_sum 'Pm2 Cd2 Pb2 O8'
_space_group_name_H-M_alt 'P 1'
_space_group_IT_number 1
_cell_length_a 6.9311
_cell_length_b 6.9648
_cell_length_c 7.1028
_cell_angle_alpha 120.66
_cell_angle_beta 90.00
_cell_angle_gamma 119.84
loop_
_space_group_symop_operation_xyz
'x,y,z'
loop_
_atom_site_label
_atom_site_type_symbol
_atom_site_fract_x
_atom_site_fract_y
_atom_site_fract_z
_atom_site_occupancy
Pm1 Pm 0.5000 0.0000 0.5000 1
Pm2 Pm 0.5000 0.0000 0.0000 1
Cd1 Cd 0.8777 0.7554 0.1277 1
Cd2 Cd 0.1223 0.2446 0.8723 1
Pb1 Pb 0.5000 0.5000 0.5000 1
Pb2 Pb 0.0000 0.5000 0.5000 1
O1 O 0.7444 0.4889 0.7247 1
O2 O 0.2795 0.0098 0.2549 1
O3 O 0.7303 0.0098 0.2549 1
O4 O 0.7444 0.4889 0.2641 1
O5 O 0.2556 0.5111 0.7359 1
O6 O 0.7205 0.9902 0.7451 1
O7 O 0.2697 0.9902 0.7451 1
O8 O 0.2556 0.5111 0.2753 1
```